Entry from Alexandria via LeMat-Bulk: a relaxed OsW3Br crystal (PBE).

## Properties
**VASP energy**: -40.70 eV/f.u.
**DOS at the Fermi energy**: 1.271 states/eV/atom
**ρ**: 12.1 g/cm³
**Energy above the lowest structure with this stoichiometry**: 0.000 eV/atom

extended XYZ file:
```
5
Lattice="4.8268 0.0000 0.0000 0.0000 4.8268 0.0000 0.0000 0.0000 4.8268" Properties=species:S:1:pos:R:3 pbc="T T T"
Os 0.0000 0.0000 0.0000
W 0.0000 0.0000 2.4134
W 0.0000 2.4134 0.0000
W 2.4134 0.0000 0.0000
Br 2.4134 2.4134 2.4134
```